Ba7SrCa2: optimized geometry, GGA-PBE.

Values from the calculation:
- total moment (μB per cell) = 0.00
- ΔH_f (0 K) (eV/atom) = 0.234
- DFT total energy (eV/atom) = -1.681

Cell lengths 4.250, 12.418, 12.418 Å; angles 106.71, 90.00, 90.00 degrees
Fractional positions:
Sr 0.000 0.000 0.000
Ca 0.500 0.837 0.163
Ba 0.500 0.627 0.872
Ca 0.500 0.163 0.837
Ba 0.000 0.321 0.679
Ba 0.500 0.128 0.373
Ba 0.500 0.872 0.627
Ba 0.000 0.679 0.321
Ba 0.500 0.373 0.128
Ba 0.500 0.500 0.500